DFT (GGA-PBE) results for a geometry-optimized TmTiCd2 structure.

Lattice parameters (Å, degrees): 7.077 7.077 7.077 90.00 90.00 90.00
Space group Fm-3m (No. 225)
Inequivalent atoms, fractional coordinates:
Tm1 0.000 0.000 0.000
Ti1 0.000 0.000 0.500
Cd1 0.250 0.250 0.250

Mass density in g/cm³: 8.28
Polymorph energy (0 for the lowest one) in meV per atom: 12
DFT formation energy in eV/atom: -0.058